1.
Compound: Ga3PRu
Source: the Alexandria database
Functional: PBE
Structure: optimized geometry

Results
Energy above the lowest structure with this stoichiometry: 0 meV/atom
Crystal system: cubic
Total moment: 1.963 Bohr magnetons per cell
Space group: Pm-3m (221)
Calculated formation energy: 40.2 kJ per mole of atoms

abc: 4.8677 4.8677 4.8677
angles: 90.00 90.00 90.00
With the nearest neighbours (Å) after each atom.
Positions (direct):
Ga: 0.5000 0.0000 0.0000  2 Ru 2.43
Ga: 0.0000 0.0000 0.5000  2 Ru 2.43
Ga: 0.0000 0.5000 0.0000  2 Ru 2.43
Ru: 0.0000 0.0000 0.0000  6 Ga 2.43
P: 0.5000 0.5000 0.5000  12 Ga 3.44

2.
Compound: GaP2RuS
Source: the Alexandria database
Functional: PBE
Structure: optimized geometry

Results
Energy above the lowest structure with this stoichiometry: 0 meV/atom
Crystal system: tetragonal
Total moment: 0.000 Bohr magnetons per cell
Formation energy without anion corrections: 0.447 eV per atom
Space group: P4/mmm (123)

abc: 4.5278 4.5278 5.4830
angles: 90.00 90.00 90.00
With the nearest neighbours (Å) after each atom.
Positions (direct):
S: 0.0000 0.0000 0.5000  2 Ru 2.74
Ga: 0.5000 0.5000 0.5000  4 S 3.20, 8 P 3.56
Ru: 0.0000 0.0000 0.0000  4 P 2.26
P: 0.0000 0.5000 0.0000  2 Ru 2.26
P: 0.5000 0.0000 0.0000  2 Ru 2.26

3.
Compound: GaP2RuS
Source: the Alexandria database
Functional: PBE
Structure: optimized geometry

Results
Energy above the lowest structure with this stoichiometry: 826 meV/atom
Crystal system: tetragonal
Total moment: 0.859 Bohr magnetons per cell
Formation energy without anion corrections: 1.273 eV per atom
Space group: P4/mmm (123)

abc: 4.4990 4.4990 4.5980
angles: 90.00 90.00 90.00
With the nearest neighbours (Å) after each atom.
Positions (direct):
Ru: 0.5000 0.5000 0.5000  4 S 3.18, 8 P 3.22
P: 0.0000 0.5000 0.0000  2 Ga 2.25
P: 0.5000 0.0000 0.0000  2 Ga 2.25
Ga: 0.0000 0.0000 0.0000  4 P 2.25, 2 S 2.30
S: 0.0000 0.0000 0.5000  2 Ga 2.30

4.
Compound: SmGa2PRu2
Source: the Alexandria database
Functional: PBE
Structure: optimized geometry

Results
Crystal system: tetragonal
Total moment: 0.007 Bohr magnetons per cell
Space group: P4/mmm (123)
Calculated formation energy: -47.1 kJ per mole of atoms

abc: 4.4196 4.4196 5.6207
angles: 90.00 90.00 90.00
With the nearest neighbours (Å) after each atom.
Positions (direct):
Ru: 0.0000 0.5000 0.0000  2 P 2.21
Ru: 0.5000 0.0000 0.0000  2 P 2.21
P: 0.0000 0.0000 0.0000  4 Ru 2.21
Sm: 0.0000 0.0000 0.5000  2 P 2.81
Ga: 0.5000 0.5000 0.7244  1 Ga 2.52, 4 Ru 2.70
Ga: 0.5000 0.5000 0.2756  1 Ga 2.52, 4 Ru 2.70

5.
Compound: GaSn2PRu
Source: the Alexandria database
Functional: PBE
Structure: optimized geometry

Results
Crystal system: tetragonal
Total moment: 0.149 Bohr magnetons per cell
Space group: P4/mmm (123)
Calculated formation energy: 101.9 kJ per mole of atoms

abc: 5.1945 4.6460 5.1945
angles: 90.00 90.00 90.00
With the nearest neighbours (Å) after each atom.
Positions (direct):
Ga: 0.0000 0.0000 0.0000  2 Ru 2.32, 4 Sn 2.60
Ru: 0.0000 0.5000 0.0000  2 Ga 2.32
P: 0.5000 0.5000 0.5000  8 Sn 3.48, 4 Ru 3.67
Sn: 0.5000 0.0000 0.0000  2 Ga 2.60
Sn: 0.0000 0.0000 0.5000  2 Ga 2.60

6.
Compound: SrGa2PRu2
Source: the Alexandria database
Functional: PBE
Structure: optimized geometry

Results
Crystal system: tetragonal
Total moment: 0.000 Bohr magnetons per cell
Space group: P4/mmm (123)
Calculated formation energy: -40.1 kJ per mole of atoms

abc: 4.4269 4.4269 5.9183
angles: 90.00 90.00 90.00
With the nearest neighbours (Å) after each atom.
Positions (direct):
Ga: 0.5000 0.5000 0.7303  1 Ga 2.73, 4 Ru 2.73
Ga: 0.5000 0.5000 0.2697  1 Ga 2.73, 4 Ru 2.73
Sr: 0.0000 0.0000 0.5000  2 P 2.96
P: 0.0000 0.0000 0.0000  4 Ru 2.21
Ru: 0.0000 0.5000 0.0000  2 P 2.21
Ru: 0.5000 0.0000 0.0000  2 P 2.21

7.
Compound: TbGa2PRu2
Source: the Alexandria database
Functional: PBE
Structure: optimized geometry

Results
Crystal system: tetragonal
Total moment: 0.000 Bohr magnetons per cell
Space group: P4/mmm (123)
Calculated formation energy: -45.0 kJ per mole of atoms

abc: 4.4180 4.4180 5.5472
angles: 90.00 90.00 90.00
With the nearest neighbours (Å) after each atom.
Positions (direct):
Tb: 0.0000 0.0000 0.5000  2 P 2.77
P: 0.0000 0.0000 0.0000  4 Ru 2.21
Ru: 0.5000 0.0000 0.0000  2 P 2.21
Ru: 0.0000 0.5000 0.0000  2 P 2.21
Ga: 0.5000 0.5000 0.7240  1 Ga 2.49, 4 Ru 2.69
Ga: 0.5000 0.5000 0.2760  1 Ga 2.49, 4 Ru 2.69

8.
Compound: ThGa2PRu2
Source: the Alexandria database
Functional: PBE
Structure: optimized geometry

Results
Crystal system: tetragonal
Total moment: 0.339 Bohr magnetons per cell
Space group: P4/mmm (123)
Calculated formation energy: -45.1 kJ per mole of atoms

abc: 4.4343 4.4343 5.6433
angles: 90.00 90.00 90.00
With the nearest neighbours (Å) after each atom.
Positions (direct):
P: 0.0000 0.0000 0.0000  4 Ru 2.22
Ru: 0.0000 0.5000 0.0000  2 P 2.22
Ru: 0.5000 0.0000 0.0000  2 P 2.22
Th: 0.0000 0.0000 0.5000  2 P 2.82
Ga: 0.5000 0.5000 0.7242  1 Ga 2.53, 4 Ru 2.71
Ga: 0.5000 0.5000 0.2758  1 Ga 2.53, 4 Ru 2.71

9.
Compound: UGaPRu3
Source: the Alexandria database
Functional: PBE
Structure: optimized geometry

Results
Crystal system: orthorhombic
Total moment: 3.056 Bohr magnetons per cell
Space group: Cmcm (63)
Calculated formation energy: -12.8 kJ per mole of atoms

abc: 5.5216 5.2769 8.2021
angles: 108.76 90.00 90.00
With the nearest neighbours (Å) after each atom.
Positions (direct):
Ru: 0.0000 0.2566 0.0000  2 P 2.32, 2 Ga 2.53, 1 Ru 2.57
Ru: 0.7500 0.7681 0.5361  1 P 2.33, 1 Ga 2.47
Ru: 0.2500 0.2319 0.4639  1 P 2.33, 1 Ga 2.47
Ru: 0.5000 0.7434 0.0000  2 P 2.32, 2 Ga 2.53, 1 Ru 2.57
Ru: 0.5000 0.2566 0.0000  2 P 2.32, 2 Ga 2.53, 1 Ru 2.57
Ru: 0.0000 0.7434 0.0000  2 P 2.32, 2 Ga 2.53, 1 Ru 2.57
U: 0.7500 0.2925 0.5850  4 Ru 2.67-2.92
U: 0.2500 0.7075 0.4150  4 Ru 2.67-2.92
Ga: 0.7500 0.6090 0.2181  5 Ru 2.47-2.53
Ga: 0.2500 0.3910 0.7819  5 Ru 2.47-2.53
P: 0.2500 0.0820 0.1640  5 Ru 2.32-2.33
P: 0.7500 0.9180 0.8360  5 Ru 2.32-2.33

10.
Compound: UGaP2Ru5
Source: the Alexandria database
Functional: PBE
Structure: optimized geometry

Results
Crystal system: tetragonal
Total moment: 0.812 Bohr magnetons per cell
Space group: P4/mmm (123)
Calculated formation energy: -41.7 kJ per mole of atoms

abc: 4.0834 4.0834 8.1091
angles: 90.00 90.00 90.00
With the nearest neighbours (Å) after each atom.
Positions (direct):
Ru: 0.5000 0.5000 0.5000  8 Ru 2.72, 4 Ga 2.89, 2 P 2.92
Ru: 0.5000 0.0000 0.2782  2 P 2.33
Ru: 0.5000 0.0000 0.7218  2 P 2.33
Ru: 0.0000 0.5000 0.2782  2 P 2.33
Ru: 0.0000 0.5000 0.7218  2 P 2.33
U: 0.0000 0.0000 0.0000  8 Ru 3.04, 8 P 3.10
Ga: 0.0000 0.0000 0.5000  12 Ru 2.72-2.89
P: 0.5000 0.5000 0.8596  1 P 2.28, 4 Ru 2.33
P: 0.5000 0.5000 0.1404  1 P 2.28, 4 Ru 2.33

11.
Compound: GaP2RuW
Source: the Alexandria database
Functional: PBE
Structure: optimized geometry

Results
Crystal system: tetragonal
Total moment: 2.192 Bohr magnetons per cell
Space group: P4/mmm (123)
Calculated formation energy: 103.0 kJ per mole of atoms

abc: 4.5968 4.7719 4.5968
angles: 90.00 90.00 90.00
With the nearest neighbours (Å) after each atom.
Positions (direct):
P: 0.5000 0.0000 0.0000  2 W 2.30
P: 0.0000 0.0000 0.5000  2 W 2.30
W: 0.0000 0.0000 0.0000  4 P 2.30, 2 Ga 2.39
Ru: 0.5000 0.5000 0.5000  4 Ga 3.25, 8 P 3.31
Ga: 0.0000 0.5000 0.0000  2 W 2.39

12.
Compound: Zn2GaPRu
Source: the Alexandria database
Functional: PBE
Structure: optimized geometry

Results
Crystal system: tetragonal
Total moment: 0.000 Bohr magnetons per cell
Space group: P4/mmm (123)
Calculated formation energy: 40.8 kJ per mole of atoms

abc: 4.6107 4.4251 4.6107
angles: 90.00 90.00 90.00
With the nearest neighbours (Å) after each atom.
Positions (direct):
Zn: 0.5000 0.0000 0.0000  2 P 2.31
Zn: 0.0000 0.0000 0.5000  2 P 2.31
P: 0.0000 0.0000 0.0000  2 Ru 2.21, 4 Zn 2.31
Ru: 0.0000 0.5000 0.0000  2 P 2.21
Ga: 0.5000 0.5000 0.5000  8 Zn 3.20, 4 Ru 3.26

13.
Compound: Zr2GaPRu
Source: the Alexandria database
Functional: PBE
Structure: optimized geometry

Results
Crystal system: tetragonal
Total moment: 0.554 Bohr magnetons per cell
Space group: P4/mmm (123)
Calculated formation energy: 85.0 kJ per mole of atoms

abc: 5.0293 4.1678 5.0293
angles: 90.00 90.00 90.00
With the nearest neighbours (Å) after each atom.
Positions (direct):
P: 0.0000 0.5000 0.0000  2 Ga 2.08
Zr: 0.5000 0.0000 0.0000  2 Ga 2.51
Zr: 0.0000 0.0000 0.5000  2 Ga 2.51
Ga: 0.0000 0.0000 0.0000  2 P 2.08
Ru: 0.5000 0.5000 0.5000  8 Zr 3.27, 4 P 3.56